# Sm2MgH, relaxed, DFT PBE
data_Sm2MgH
_symmetry_space_group_name_H-M 'P 4/m m m'
_symmetry_Int_Tables_number 123
_symmetry_space_group_name_Hall '-P 4 2'
_cell_length_a 3.317
_cell_length_b 3.317
_cell_length_c 8.137
_cell_angle_alpha 90.00
_cell_angle_beta 90.00
_cell_angle_gamma 90.00
loop_
_atom_site_label
_atom_site_type_symbol
_atom_site_fract_x
_atom_site_fract_y
_atom_site_fract_z
Sm1 Sm 0.000 0.000 0.199
Mg1 Mg 0.500 0.500 0.500
H1 H 0.500 0.500 0.000
# **Total DFT energy (no corrections)**: -3.518 eV/atom